Below is an optimized crystal structure of Sc4Ge2Sb, with properties calculated at the PBE level.

The structure belongs to space group I-42d (No. 122); the cell edges are 8.470, 8.470 and 8.334 Å and the angles 90.00°, 90.00° and 90.00°. Symmetry generates all atoms from Sc at (0.073, 0.172, 0.314), Ge at (0.131, 0.250, 0.625) and Sb at (0.000, 0.000, 0.000).

The calculation puts the energy relative to the elements, uncorrected at -0.841 eV/atom. As for the magnetization: 0.0 Bohr magnetons per cell. Its total energy is -6.37 eV/atom. Its calculated density is 4.97 g/cm3.